Arrangement i

The following is a PBE-GGA calculation of TiSI2O after structural relaxation, from Alexandria.

Output
Theoretical density: 4.9 g/cm3
DOS(E_F): 3.25 states/eV per cell

a b c (Å): 5.644 5.644 3.727
angles (deg): 90.00 90.00 90.00
Fractional positions:
Ti 0.000 0.000 0.000
S 0.500 0.500 0.500
I 0.000 0.500 0.000
I 0.500 0.000 0.000
O 0.000 0.000 0.500


Arrangement ii

The following is a PBE-GGA calculation of TiSI2O after structural relaxation, from Alexandria.

Output
Theoretical density: 5.1 g/cm3
DOS(E_F): 4.89 states/eV per cell

a b c (Å): 5.599 5.599 3.628
angles (deg): 90.00 90.00 90.00
Fractional positions:
Ti 0.000 0.000 0.000
S 0.500 0.500 0.500
I 0.000 0.500 0.500
I 0.500 0.000 0.500
O 0.500 0.500 0.000


The calculated energies rank the structures as follows, beginning with the most stable: arrangement i, arrangement ii.


Arrangement i

The following is a PBE-GGA calculation of YSI2O after structural relaxation, from Alexandria.

Output
Theoretical density: 4.0 g/cm3
DOS(E_F): 2.56 states/eV per cell

a b c (Å): 6.259 6.259 4.156
angles (deg): 90.00 90.00 90.00
Fractional positions:
Y 0.000 0.000 0.000
S 0.500 0.500 0.500
I 0.000 0.500 0.000
I 0.500 0.000 0.000
O 0.000 0.000 0.500


Arrangement ii

The following is a PBE-GGA calculation of YSI2O after structural relaxation, from Alexandria.

Output
Theoretical density: 5.1 g/cm3
DOS(E_F): 5.55 states/eV per cell

a b c (Å): 5.904 5.904 3.647
angles (deg): 90.00 90.00 90.00
Fractional positions:
Y 0.000 0.000 0.000
S 0.500 0.500 0.500
I 0.000 0.500 0.500
I 0.500 0.000 0.500
O 0.500 0.500 0.000


The calculated energies rank the structures as follows, beginning with the most stable: arrangement i, arrangement ii.


Arrangement i

The following is a PBE-GGA calculation of Sb2IO after structural relaxation, from Alexandria.

Output
Theoretical density: 5.4 g/cm3
DOS(E_F): 7.69 states/eV per cell

a b c (Å): 8.247 8.247 8.247
angles (deg): 139.15 139.15 59.15
Fractional positions:
Sb 0.375 0.199 0.324
Sb 0.801 0.125 0.176
Sb 0.875 0.051 0.676
Sb 0.949 0.625 0.824
I 0.250 0.750 0.500
I 0.500 0.500 0.000
O 0.000 0.000 0.000
O 0.750 0.250 0.500


Arrangement ii

The following is a PBE-GGA calculation of Sb2IO after structural relaxation, from Alexandria.

Output
Theoretical density: 6.9 g/cm3
DOS(E_F): 3.33 states/eV per cell

a b c (Å): 5.080 5.080 5.080
angles (deg): 60.00 60.00 60.00
Fractional positions:
Sb 0.250 0.250 0.250
Sb 0.750 0.750 0.750
I 0.000 0.000 0.000
O 0.500 0.500 0.500


The calculated energies rank the structures as follows, beginning with the most stable: arrangement i, arrangement ii.


Arrangement i

The following is a PBE-GGA calculation of SbIO2 after structural relaxation, from Alexandria.

Output
Theoretical density: 3.8 g/cm3
DOS(E_F): 0.00 states/eV per cell

a b c (Å): 5.663 7.964 10.923
angles (deg): 90.00 90.00 90.00
Fractional positions:
Sb 0.240 0.250 0.198
Sb 0.260 0.750 0.698
Sb 0.740 0.250 0.302
Sb 0.760 0.750 0.802
I 0.238 0.250 0.953
I 0.262 0.750 0.453
I 0.738 0.250 0.547
I 0.762 0.750 0.047
O 0.010 0.588 0.750
O 0.010 0.912 0.750
O 0.490 0.088 0.250
O 0.490 0.412 0.250
O 0.510 0.588 0.750
O 0.510 0.912 0.750
O 0.990 0.088 0.250
O 0.990 0.412 0.250


Arrangement ii

The following is a PBE-GGA calculation of SbIO2 after structural relaxation, from Alexandria.

Output
Theoretical density: 6.0 g/cm3
DOS(E_F): 0.76 states/eV per cell

a b c (Å): 6.730 6.730 6.730
angles (deg): 32.36 32.36 32.36
Fractional positions:
Sb 0.000 0.000 0.000
I 0.500 0.500 0.500
O 0.384 0.384 0.384
O 0.616 0.616 0.616


Arrangement iii

The following is a PBE-GGA calculation of SbIO2 after structural relaxation, from Alexandria.

Output
Theoretical density: 7.3 g/cm3
DOS(E_F): 4.13 states/eV per cell

a b c (Å): 4.490 4.490 4.490
angles (deg): 60.00 60.00 60.00
Fractional positions:
Sb 0.000 0.000 0.000
I 0.500 0.500 0.500
O 0.250 0.250 0.250
O 0.750 0.750 0.750


Arrangement iv

The following is a PBE-GGA calculation of SbIO2 after structural relaxation, from Alexandria.

Output
Theoretical density: 4.9 g/cm3
DOS(E_F): 18.23 states/eV per cell

a b c (Å): 6.462 6.462 6.462
angles (deg): 120.00 120.00 90.00
Fractional positions:
Sb 0.000 0.000 0.000
Sb 0.750 0.250 0.500
I 0.250 0.750 0.500
I 0.500 0.500 0.000
O 0.375 0.127 0.252
O 0.873 0.125 0.248
O 0.875 0.123 0.748
O 0.877 0.625 0.752


The calculated energies rank the structures as follows, beginning with the most stable: arrangement i, arrangement iv, arrangement ii, arrangement iii.


Arrangement i

The following is a PBE-GGA calculation of Sb5IO7 after structural relaxation, from Alexandria.

Output
Theoretical density: 5.2 g/cm3
DOS(E_F): 0.00 states/eV per cell

a b c (Å): 7.041 13.179 13.462
angles (deg): 90.00 119.89 90.00
Fractional positions:
Sb 0.042 0.243 0.441
Sb 0.042 0.257 0.941
Sb 0.310 0.554 0.566
Sb 0.310 0.946 0.066
Sb 0.324 0.560 0.070
Sb 0.324 0.940 0.570
Sb 0.341 0.240 0.253
Sb 0.341 0.260 0.753
Sb 0.356 0.735 0.396
Sb 0.356 0.765 0.896
Sb 0.644 0.235 0.104
Sb 0.644 0.265 0.604
Sb 0.659 0.740 0.247
Sb 0.659 0.760 0.747
Sb 0.676 0.060 0.430
Sb 0.676 0.440 0.930
Sb 0.690 0.054 0.934
Sb 0.690 0.446 0.434
Sb 0.958 0.743 0.059
Sb 0.958 0.757 0.559
I 0.095 0.506 0.769
I 0.095 0.994 0.269
I 0.905 0.006 0.731
I 0.905 0.494 0.231
O 0.022 0.620 0.995
O 0.022 0.880 0.495
O 0.088 0.668 0.489
O 0.088 0.832 0.989
O 0.338 0.249 0.093
O 0.338 0.251 0.593
O 0.408 0.645 0.213
O 0.408 0.855 0.713
O 0.470 0.609 0.489
O 0.470 0.891 0.989
O 0.475 0.678 0.038
O 0.475 0.822 0.538
O 0.482 0.634 0.709
O 0.482 0.866 0.209
O 0.518 0.134 0.791
O 0.518 0.366 0.291
O 0.525 0.178 0.462
O 0.525 0.322 0.962
O 0.530 0.109 0.011
O 0.530 0.391 0.511
O 0.592 0.145 0.287
O 0.592 0.355 0.787
O 0.662 0.749 0.407
O 0.662 0.751 0.907
O 0.912 0.168 0.011
O 0.912 0.332 0.511
O 0.978 0.120 0.505
O 0.978 0.380 0.005


Arrangement ii

The following is a PBE-GGA calculation of Sb5IO7 after structural relaxation, from Alexandria.

Output
Theoretical density: 5.2 g/cm3
DOS(E_F): 0.00 states/eV per cell

a b c (Å): 6.946 6.946 12.964
angles (deg): 90.00 90.00 120.00
Fractional positions:
Sb 0.039 0.361 0.250
Sb 0.322 0.961 0.250
Sb 0.333 0.667 0.553
Sb 0.333 0.667 0.947
Sb 0.361 0.039 0.750
Sb 0.639 0.678 0.250
Sb 0.667 0.333 0.053
Sb 0.667 0.333 0.447
Sb 0.678 0.639 0.750
Sb 0.961 0.322 0.750
I 0.000 0.000 0.000
I 0.000 0.000 0.500
O 0.058 0.552 0.640
O 0.058 0.552 0.860
O 0.333 0.667 0.250
O 0.448 0.506 0.640
O 0.448 0.506 0.860
O 0.494 0.942 0.640
O 0.494 0.942 0.860
O 0.506 0.448 0.140
O 0.506 0.448 0.360
O 0.552 0.058 0.140
O 0.552 0.058 0.360
O 0.667 0.333 0.750
O 0.942 0.494 0.140
O 0.942 0.494 0.360


The calculated energies rank the structures as follows, beginning with the most stable: arrangement i, arrangement ii.


Arrangement i

The following is a PBE-GGA calculation of SbI2O2 after structural relaxation, from Alexandria.

Output
Theoretical density: 5.4 g/cm3
DOS(E_F): 1.02 states/eV per cell

a b c (Å): 4.230 4.230 7.033
angles (deg): 90.00 90.00 90.00
Fractional positions:
Sb 0.000 0.000 0.000
I 0.000 0.000 0.500
I 0.500 0.500 0.500
O 0.000 0.500 0.000
O 0.500 0.000 0.000


Arrangement ii

The following is a PBE-GGA calculation of SbI2O2 after structural relaxation, from Alexandria.

Output
Theoretical density: 4.8 g/cm3
DOS(E_F): 13.16 states/eV per cell

a b c (Å): 5.929 5.929 4.000
angles (deg): 90.00 90.00 90.00
Fractional positions:
Sb 0.000 0.000 0.000
I 0.000 0.500 0.000
I 0.500 0.000 0.000
O 0.000 0.000 0.500
O 0.500 0.500 0.500


Arrangement iii

The following is a PBE-GGA calculation of SbI2O2 after structural relaxation, from Alexandria.

Output
Theoretical density: 4.8 g/cm3
DOS(E_F): 2.94 states/eV per cell

a b c (Å): 4.198 4.198 7.946
angles (deg): 90.00 90.00 90.00
Fractional positions:
Sb 0.000 0.000 0.000
I 0.500 0.500 0.000
I 0.500 0.500 0.500
O 0.000 0.500 0.500
O 0.500 0.000 0.500


Arrangement iv

The following is a PBE-GGA calculation of SbI2O2 after structural relaxation, from Alexandria.

Output
Theoretical density: 6.6 g/cm3
DOS(E_F): 3.52 states/eV per cell

a b c (Å): 4.957 4.957 4.183
angles (deg): 90.00 90.00 90.00
Fractional positions:
Sb 0.000 0.000 0.000
I 0.000 0.500 0.500
I 0.500 0.000 0.500
O 0.500 0.500 0.000
O 0.500 0.500 0.500


The calculated energies rank the structures as follows, beginning with the most stable: arrangement i, arrangement iii, arrangement ii, arrangement iv.


Arrangement i

The following is a PBE-GGA calculation of ScSbI2O after structural relaxation, from Alexandria.

Output
Theoretical density: 5.2 g/cm3
DOS(E_F): 3.13 states/eV per cell

a b c (Å): 6.024 6.024 3.856
angles (deg): 90.00 90.00 90.00
Fractional positions:
Sc 0.000 0.000 0.000
Sb 0.500 0.500 0.500
I 0.000 0.500 0.000
I 0.500 0.000 0.000
O 0.000 0.000 0.500


Arrangement ii

The following is a PBE-GGA calculation of ScSbI2O after structural relaxation, from Alexandria.

Output
Theoretical density: 4.7 g/cm3
DOS(E_F): 5.96 states/eV per cell

a b c (Å): 6.180 6.180 4.069
angles (deg): 90.00 90.00 90.00
Fractional positions:
Sc 0.000 0.000 0.000
Sb 0.500 0.500 0.500
I 0.000 0.500 0.500
I 0.500 0.000 0.500
O 0.500 0.500 0.000


The calculated energies rank the structures as follows, beginning with the most stable: arrangement i, arrangement ii.


Arrangement i

The following is a PBE-GGA calculation of ScSbI2O after structural relaxation, from Alexandria.

Output
Theoretical density: 5.9 g/cm3
DOS(E_F): 3.06 states/eV per cell

a b c (Å): 5.104 5.104 4.704
angles (deg): 90.00 90.00 90.00
Fractional positions:
Sc 0.000 0.000 0.000
Sb 0.500 0.500 0.000
I 0.000 0.500 0.500
I 0.500 0.000 0.500
O 0.500 0.500 0.500


Arrangement ii

The following is a PBE-GGA calculation of ScSbI2O after structural relaxation, from Alexandria.

Output
Theoretical density: 4.1 g/cm3
DOS(E_F): 11.09 states/eV per cell

a b c (Å): 5.483 5.483 5.824
angles (deg): 90.00 90.00 90.00
Fractional positions:
Sc 0.000 0.000 0.000
Sb 0.000 0.000 0.500
I 0.000 0.500 0.000
I 0.500 0.000 0.000
O 0.500 0.500 0.500


The calculated energies rank the structures as follows, beginning with the most stable: arrangement i, arrangement ii.


Arrangement i

The following is a PBE-GGA calculation of SbSeIO2 after structural relaxation, from Alexandria.

Output
Theoretical density: 5.7 g/cm3
DOS(E_F): 2.89 states/eV per cell

a b c (Å): 4.136 4.136 6.151
angles (deg): 90.00 90.00 90.00
Fractional positions:
Sb 0.000 0.000 0.000
Se 0.500 0.500 0.500
I 0.500 0.500 0.000
O 0.000 0.500 0.500
O 0.500 0.000 0.500


Arrangement ii

The following is a PBE-GGA calculation of SbSeIO2 after structural relaxation, from Alexandria.

Output
Theoretical density: 5.3 g/cm3
DOS(E_F): 2.81 states/eV per cell

a b c (Å): 4.037 4.037 6.888
angles (deg): 90.00 90.00 90.00
Fractional positions:
Sb 0.000 0.000 0.000
Se 0.500 0.500 0.500
I 0.000 0.000 0.500
O 0.000 0.500 0.000
O 0.500 0.000 0.000


The calculated energies rank the structures as follows, beginning with the most stable: arrangement ii, arrangement i.